Entry 1:
! AlTeSN2 (PBE-GGA, optimized geometry); values from VASP
&SYSTEM
  ibrav = 0, nat = 5, ntyp = 4
/
ATOMIC_SPECIES
Al 26.98 Al.upf
Te 127.60 Te.upf
S 32.06 S.upf
N 14.01 N.upf
CELL_PARAMETERS angstrom
3.708 0.000 0.000
0.000 3.708 0.000
0.000 0.000 6.868
ATOMIC_POSITIONS crystal
Al 0.000 0.000 0.000
Te 0.000 0.000 0.500
S 0.500 0.500 0.500
N 0.000 0.500 0.000
N 0.500 0.000 0.000
! - Theoretical density: 3.8 Mg/m³
! - E: -4.703 eV per atom
! - E above lowest polymorph: 0.075 eV/atom

=====

Entry 2:
! Cs3Pb2 (PBE-GGA, optimized geometry); values from VASP
&SYSTEM
  ibrav = 0, nat = 10, ntyp = 2
/
ATOMIC_SPECIES
Cs 132.91 Cs.upf
Pb 207.20 Pb.upf
CELL_PARAMETERS angstrom
0.000 13.702 2.560
7.724 0.000 2.560
7.724 13.702 0.000
ATOMIC_POSITIONS crystal
Cs 0.000 0.000 0.000
Cs 0.250 0.250 0.250
Cs 0.391 0.447 0.368
Cs 0.447 0.391 0.794
Cs 0.456 0.882 0.803
Cs 0.882 0.456 0.859
Pb 0.060 0.676 0.385
Pb 0.371 0.865 0.574
Pb 0.676 0.060 0.879
Pb 0.865 0.371 0.190
! - Theoretical density: 5.0 Mg/m³
! - E: -2.078 eV per atom

=====

Entry 3:
! SrZn2HgAu5 (PBE-GGA, optimized geometry); values from VASP
&SYSTEM
  ibrav = 0, nat = 9, ntyp = 4
/
ATOMIC_SPECIES
Sr 87.62 Sr.upf
Zn 65.41 Zn.upf
Hg 200.59 Hg.upf
Au 196.97 Au.upf
CELL_PARAMETERS angstrom
4.987 0.000 0.000
0.000 4.987 0.000
0.000 0.000 7.760
ATOMIC_POSITIONS crystal
Sr 0.000 0.000 0.000
Zn 0.500 0.500 0.338
Zn 0.500 0.500 0.662
Hg 0.000 0.000 0.500
Au 0.000 0.500 0.264
Au 0.000 0.500 0.736
Au 0.500 0.000 0.264
Au 0.500 0.000 0.736
Au 0.500 0.500 0.000
! - Theoretical density: 12.1 Mg/m³
! - E: -2.520 eV per atom